The following is a PBE calculation of crystalline Nd7Y3Er2 at its relaxed geometry, from Alexandria.

abc: 16.4614 16.4614 4.7166
angles: 90.00 90.00 160.71
Closest atoms and distances in Å follow each position.
Fractional positions:
Nd  0.0000  0.0000  0.0000  8 Nd 3.49-3.87, 4 Y 3.63
Nd  0.0794  0.9206  0.5000  6 Nd 3.49-3.63, 2 Er 3.50, 4 Y 3.78-3.79
Nd  0.2638  0.7362  0.0000  2 Nd 2.90
Nd  0.4165  0.5835  0.0000  4 Y 3.41-3.59, 4 Nd 3.63, 2 Er 3.69
Nd  0.5835  0.4165  0.0000  4 Y 3.41-3.59, 4 Nd 3.63, 2 Er 3.69
Nd  0.7362  0.2638  0.0000  2 Nd 2.90
Nd  0.9206  0.0794  0.5000  6 Nd 3.49-3.63, 2 Er 3.50, 4 Y 3.78-3.79
Y  0.3407  0.6593  0.5000  6 Nd 3.41-3.79, 4 Er 3.63
Y  0.5000  0.5000  0.5000  12 Nd 3.59-3.78
Y  0.6593  0.3407  0.5000  6 Nd 3.41-3.79, 4 Er 3.63
Er  0.1591  0.8409  0.0000  7 Nd 3.40-3.72, 4 Y 3.63
Er  0.8409  0.1591  0.0000  7 Nd 3.40-3.72, 4 Y 3.63

Calculated formation energy ... 0.2591 eV/atom
Crystal system ... orthorhombic
DOS at the Fermi energy ... 17.800 states/eV/cell
Excess energy over the best structure of this formula in the dataset ... 0.0000 eV per atom